# ErBeZn2Au5 | Alexandria | GGA-PBE | relaxed
# Density, g/cm³: 12.36
# E_form, meV/atom: -269
# E, eV for the cell shown: -59.3
data_ErBeZn2Au5
_chemical_formula_sum 'Er2 Be2 Zn4 Au10'
_space_group_name_H-M_alt 'I m m m'
_space_group_IT_number 71
_space_group_name_Hall '-I 2 2'
_cell_length_a 4.446
_cell_length_b 6.002
_cell_length_c 13.005
_cell_angle_alpha 90.00
_cell_angle_beta 90.00
_cell_angle_gamma 90.00
loop_
_atom_site_label
_atom_site_type_symbol
_atom_site_fract_x
_atom_site_fract_y
_atom_site_fract_z
Er1 Er 0.000 0.000 0.000
Be1 Be 0.000 0.000 0.500
Zn1 Zn 0.000 0.500 0.199
Au1 Au 0.000 0.265 0.367
Au2 Au 0.000 0.500 0.000